# La2HoPuSb4 | Alexandria | PBE | relaxed
# Energy relative to the elements, uncorrected: -1049 meV/atom
# DOS at the Fermi energy: 17.03 states/eV per cell
# Magnetization: 4.99 μB per formula unit
data_La2HoPuSb4
_space_group_name_H-M_alt 'P 1 2/m 1'
_space_group_IT_number 10
_cell_length_a 7.804
_cell_length_b 4.523
_cell_length_c 7.813
_cell_angle_alpha 90.00
_cell_angle_beta 109.49
_cell_angle_gamma 90.00
loop_
_space_group_symop_operation_xyz
'x,y,z'
'-x,-y,-z'
'-x,y,-z'
'x,-y,z'
loop_
_atom_site_label
_atom_site_type_symbol
_atom_site_fract_x
_atom_site_fract_y
_atom_site_fract_z
_atom_site_occupancy
La1 La 0.000 0.000 0.000 1
La2 La 0.000 0.500 0.500 1
Ho1 Ho 0.500 0.000 0.500 1
Pu1 Pu 0.500 0.500 0.000 1
Sb1 Sb 0.264 0.000 0.753 1
Sb2 Sb 0.264 0.500 0.256 1


# Dy8SiSe4S3 | Alexandria | PBE | relaxed
# Energy relative to the elements, uncorrected: -1768 meV/atom
# DOS at the Fermi energy: 14.33 states/eV per cell
# Magnetization: 0.00 μB per formula unit
data_Dy8SiSe4S3
_space_group_name_H-M_alt 'R -3 m'
_space_group_IT_number 166
_space_group_name_Hall '-R 3 2"'
_cell_length_a 7.9901
_cell_length_b 7.9901
_cell_length_c 20.0352
_cell_angle_alpha 90.00
_cell_angle_beta 90.00
_cell_angle_gamma 120.00
loop_
_atom_site_label
_atom_site_type_symbol
_atom_site_fract_x
_atom_site_fract_y
_atom_site_fract_z
_atom_site_occupancy
Dy1 Dy 0.0000 0.0000 0.2415 1
Dy2 Dy 0.0011 0.5005 0.2428 1
Si1 Si 0.0000 0.0000 0.5000 1
Se1 Se 0.0000 0.0000 0.0000 1
Se2 Se 0.0000 0.5000 0.0000 1
S1 S 0.0000 0.5000 0.5000 1


# NaSrPr2Te4 | Alexandria | PBE | relaxed
# Energy relative to the elements, uncorrected: -1458 meV/atom
# DOS at the Fermi energy: 2.87 states/eV per cell
# Magnetization: 0.00 μB per formula unit
data_NaSrPr2Te4
_space_group_name_H-M_alt 'P 1 2/m 1'
_space_group_IT_number 10
_cell_length_a 7.880
_cell_length_b 4.565
_cell_length_c 8.127
_cell_angle_alpha 90.00
_cell_angle_beta 108.88
_cell_angle_gamma 90.00
loop_
_space_group_symop_operation_xyz
'x,y,z'
'-x,-y,-z'
'-x,y,-z'
'x,-y,z'
loop_
_atom_site_label
_atom_site_type_symbol
_atom_site_fract_x
_atom_site_fract_y
_atom_site_fract_z
_atom_site_occupancy
Na1 Na 0.000 0.000 0.000 1
Sr1 Sr 0.500 0.500 0.000 1
Pr1 Pr 0.000 0.500 0.500 1
Pr2 Pr 0.500 0.000 0.500 1
Te1 Te 0.245 0.000 0.743 1
Te2 Te 0.250 0.500 0.257 1


# LaCeNiRu | Alexandria | PBE | relaxed
# Calculated formation energy: -0.22 eV per atom
# DOS at the Fermi energy: 16.03 states/eV per cell
# Magnetization: 0.34 μB per formula unit
data_LaCeNiRu
_space_group_name_H-M_alt 'F -4 3 m'
_space_group_IT_number 216
_space_group_name_Hall 'F -4 2 3'
_cell_length_a 6.989
_cell_length_b 6.989
_cell_length_c 6.989
_cell_angle_alpha 90.00
_cell_angle_beta 90.00
_cell_angle_gamma 90.00
loop_
_atom_site_label
_atom_site_type_symbol
_atom_site_fract_x
_atom_site_fract_y
_atom_site_fract_z
_atom_site_occupancy
La1 La 0.000 0.000 0.000 1
Ce1 Ce 0.000 0.000 0.500 1
Ni1 Ni 0.250 0.250 0.250 1
Ru1 Ru 0.250 0.250 0.750 1


# CoSnRh2 | Alexandria | PBE | relaxed
# Calculated formation energy: -0.22 eV per atom
# DOS at the Fermi energy: 9.27 states/eV per cell
# Magnetization: 2.28 μB per formula unit
data_CoSnRh2
_space_group_name_H-M_alt 'I 4/m m m'
_space_group_IT_number 139
_space_group_name_Hall '-I 4 2'
_cell_length_a 4.075
_cell_length_b 4.075
_cell_length_c 7.172
_cell_angle_alpha 90.00
_cell_angle_beta 90.00
_cell_angle_gamma 90.00
loop_
_atom_site_label
_atom_site_type_symbol
_atom_site_fract_x
_atom_site_fract_y
_atom_site_fract_z
_atom_site_occupancy
Co1 Co 0.000 0.000 0.000 1
Sn1 Sn 0.000 0.000 0.500 1
Rh1 Rh 0.000 0.500 0.250 1


# CaTb2PuSb4 | Alexandria | PBE | relaxed
# Energy relative to the elements, uncorrected: -914 meV/atom
# DOS at the Fermi energy: 29.82 states/eV per cell
# Magnetization: 4.48 μB per formula unit
data_CaTb2PuSb4
_space_group_name_H-M_alt 'I 4/m m m'
_space_group_IT_number 139
_space_group_name_Hall '-I 4 2'
_cell_length_a 6.259
_cell_length_b 6.259
_cell_length_c 12.577
_cell_angle_alpha 90.00
_cell_angle_beta 90.00
_cell_angle_gamma 90.00
loop_
_atom_site_label
_atom_site_type_symbol
_atom_site_fract_x
_atom_site_fract_y
_atom_site_fract_z
_atom_site_occupancy
Ca1 Ca 0.000 0.000 0.000 1
Tb1 Tb 0.000 0.500 0.250 1
Pu1 Pu 0.000 0.000 0.500 1
Sb1 Sb 0.000 0.000 0.256 1
Sb2 Sb 0.000 0.500 0.000 1


# PaCu2Ge | Alexandria | PBE | relaxed
# Calculated formation energy: -0.20 eV per atom
# DOS at the Fermi energy: 8.19 states/eV per cell
# Magnetization: 0.00 μB per formula unit
data_PaCu2Ge
_space_group_name_H-M_alt 'P m m n'
_space_group_IT_number 59
_cell_length_a 4.175
_cell_length_b 6.198
_cell_length_c 5.296
_cell_angle_alpha 90.00
_cell_angle_beta 90.00
_cell_angle_gamma 90.00
loop_
_space_group_symop_operation_xyz
'x,y,z'
'-x,-y,-z'
'-x+1/2,-y+1/2,z'
'x+1/2,y+1/2,-z'
'x+1/2,-y,-z'
'-x+1/2,y,z'
'-x,y+1/2,-z'
'x,-y+1/2,z'
loop_
_atom_site_label
_atom_site_type_symbol
_atom_site_fract_x
_atom_site_fract_y
_atom_site_fract_z
_atom_site_occupancy
Pa1 Pa 0.250 0.250 0.140 1
Cu1 Cu 0.250 0.020 0.652 1
Ge1 Ge 0.250 0.750 0.284 1


# Na3FeAu | Alexandria | PBE | relaxed
# Calculated formation energy: 0.67 eV per atom
# DOS at the Fermi energy: 21.80 states/eV per cell
# Magnetization: 3.09 μB per formula unit
data_Na3FeAu
_space_group_name_H-M_alt 'P m -3 m'
_space_group_IT_number 221
_space_group_name_Hall '-P 4 2 3'
_cell_length_a 5.503
_cell_length_b 5.503
_cell_length_c 5.503
_cell_angle_alpha 90.00
_cell_angle_beta 90.00
_cell_angle_gamma 90.00
loop_
_atom_site_label
_atom_site_type_symbol
_atom_site_fract_x
_atom_site_fract_y
_atom_site_fract_z
_atom_site_occupancy
Na1 Na 0.000 0.000 0.500 1
Fe1 Fe 0.500 0.500 0.500 1
Au1 Au 0.000 0.000 0.000 1


# Rb2BiBrF6 | Alexandria | PBE | relaxed
# Energy relative to the elements, uncorrected: -2057 meV/atom
# DOS at the Fermi energy: 6.21 states/eV per cell
# Magnetization: 0.00 μB per formula unit
data_Rb2BiBrF6
_space_group_name_H-M_alt 'I 4/m m m'
_space_group_IT_number 139
_space_group_name_Hall '-I 4 2'
_cell_length_a 6.934
_cell_length_b 6.934
_cell_length_c 10.067
_cell_angle_alpha 90.00
_cell_angle_beta 90.00
_cell_angle_gamma 90.00
loop_
_atom_site_label
_atom_site_type_symbol
_atom_site_fract_x
_atom_site_fract_y
_atom_site_fract_z
_atom_site_occupancy
Rb1 Rb 0.000 0.500 0.250 1
Bi1 Bi 0.000 0.000 0.000 1
Br1 Br 0.000 0.000 0.500 1
F1 F 0.000 0.000 0.214 1
F2 F 0.219 0.219 0.000 1


# OsRh2 | Alexandria | PBE | relaxed
# Calculated formation energy: 0.03 eV per atom
# DOS at the Fermi energy: 5.17 states/eV per cell
# Magnetization: 0.00 μB per formula unit
data_OsRh2
_space_group_name_H-M_alt 'I m m m'
_space_group_IT_number 71
_space_group_name_Hall '-I 2 2'
_cell_length_a 2.715
_cell_length_b 3.841
_cell_length_c 8.144
_cell_angle_alpha 90.00
_cell_angle_beta 90.00
_cell_angle_gamma 90.00
loop_
_atom_site_label
_atom_site_type_symbol
_atom_site_fract_x
_atom_site_fract_y
_atom_site_fract_z
_atom_site_occupancy
Os1 Os 0.000 0.000 0.000 1
Rh1 Rh 0.000 0.000 0.336 1


# BePd3Rh | Alexandria | PBE | relaxed
# Calculated formation energy: 0.19 eV per atom
# DOS at the Fermi energy: 5.19 states/eV per cell
# Magnetization: 0.00 μB per formula unit
data_BePd3Rh
_space_group_name_H-M_alt 'P m -3 m'
_space_group_IT_number 221
_space_group_name_Hall '-P 4 2 3'
_cell_length_a 4.180
_cell_length_b 4.180
_cell_length_c 4.180
_cell_angle_alpha 90.00
_cell_angle_beta 90.00
_cell_angle_gamma 90.00
loop_
_atom_site_label
_atom_site_type_symbol
_atom_site_fract_x
_atom_site_fract_y
_atom_site_fract_z
_atom_site_occupancy
Be1 Be 0.000 0.000 0.000 1
Pd1 Pd 0.000 0.000 0.500 1
Rh1 Rh 0.500 0.500 0.500 1


# TcAsPd3 | Alexandria | PBE | relaxed
# Calculated formation energy: 0.63 eV per atom
# DOS at the Fermi energy: 2.05 states/eV per cell
# Magnetization: 4.26 μB per formula unit
data_TcAsPd3
_space_group_name_H-M_alt 'P m -3 m'
_space_group_IT_number 221
_space_group_name_Hall '-P 4 2 3'
_cell_length_a 4.632
_cell_length_b 4.632
_cell_length_c 4.632
_cell_angle_alpha 90.00
_cell_angle_beta 90.00
_cell_angle_gamma 90.00
loop_
_atom_site_label
_atom_site_type_symbol
_atom_site_fract_x
_atom_site_fract_y
_atom_site_fract_z
_atom_site_occupancy
Tc1 Tc 0.000 0.000 0.000 1
As1 As 0.500 0.500 0.500 1
Pd1 Pd 0.000 0.500 0.500 1


# LiPuGa6 | Alexandria | PBE | relaxed
# Calculated formation energy: -0.26 eV per atom
# DOS at the Fermi energy: 8.48 states/eV per cell
# Magnetization: 5.56 μB per formula unit
data_LiPuGa6
_space_group_name_H-M_alt 'P -6 m 2'
_space_group_IT_number 187
_space_group_name_Hall 'P -6 2'
_cell_length_a 6.1246
_cell_length_b 6.1246
_cell_length_c 4.5769
_cell_angle_alpha 90.00
_cell_angle_beta 90.00
_cell_angle_gamma 120.00
loop_
_atom_site_label
_atom_site_type_symbol
_atom_site_fract_x
_atom_site_fract_y
_atom_site_fract_z
_atom_site_occupancy
Li1 Li 0.0000 0.0000 0.0000 1
Pu1 Pu 0.3333 0.6667 0.5000 1
Ga1 Ga 0.3240 0.1620 0.5000 1
Ga2 Ga 0.5159 0.0319 0.0000 1


# Sr2AgSn | Alexandria | PBE | relaxed
# Calculated formation energy: -0.15 eV per atom
# DOS at the Fermi energy: 16.13 states/eV per cell
# Magnetization: 0.00 μB per formula unit
data_Sr2AgSn
_space_group_name_H-M_alt 'I -4 2 d'
_space_group_IT_number 122
_space_group_name_Hall 'I -4 2bw'
_cell_length_a 8.804
_cell_length_b 8.804
_cell_length_c 7.266
_cell_angle_alpha 90.00
_cell_angle_beta 90.00
_cell_angle_gamma 90.00
loop_
_atom_site_label
_atom_site_type_symbol
_atom_site_fract_x
_atom_site_fract_y
_atom_site_fract_z
_atom_site_occupancy
Sr1 Sr 0.233 0.250 0.125 1
Ag1 Ag 0.000 0.000 0.000 1
Sn1 Sn 0.000 0.000 0.500 1


# AgP2HS | Alexandria | PBE | relaxed
# DOS at the Fermi energy: 4.82 states/eV per cell
# Uncorrected energy: -0.260 Ry per atom
# Magnetization: 0.00 μB per formula unit
data_AgP2HS
_space_group_name_H-M_alt 'P 4/m m m'
_space_group_IT_number 123
_space_group_name_Hall '-P 4 2'
_cell_length_a 3.530
_cell_length_b 3.530
_cell_length_c 7.322
_cell_angle_alpha 90.00
_cell_angle_beta 90.00
_cell_angle_gamma 90.00
loop_
_atom_site_label
_atom_site_type_symbol
_atom_site_fract_x
_atom_site_fract_y
_atom_site_fract_z
_atom_site_occupancy
Ag1 Ag 0.000 0.000 0.000 1
P1 P 0.000 0.500 0.500 1
H1 H 0.500 0.500 0.500 1
S1 S 0.500 0.500 0.000 1


# SrB | Alexandria | PBE | relaxed
# Calculated formation energy: 0.35 eV per atom
# DOS at the Fermi energy: 6.16 states/eV per cell
# Magnetization: 0.00 μB per formula unit
data_SrB
_space_group_name_H-M_alt 'C m m m'
_space_group_IT_number 65
_space_group_name_Hall '-C 2 2'
_cell_length_a 3.348
_cell_length_b 18.886
_cell_length_c 4.399
_cell_angle_alpha 90.00
_cell_angle_beta 90.00
_cell_angle_gamma 90.00
loop_
_atom_site_label
_atom_site_type_symbol
_atom_site_fract_x
_atom_site_fract_y
_atom_site_fract_z
_atom_site_occupancy
Sr1 Sr 0.000 0.000 0.000 1
Sr2 Sr 0.000 0.343 0.500 1
B1 B 0.000 0.243 0.000 1
B2 B 0.000 0.500 0.500 1


# PaAgS4 | Alexandria | PBE | relaxed
# Energy relative to the elements, uncorrected: -748 meV/atom
# DOS at the Fermi energy: 0.04 states/eV per cell
# Magnetization: 0.00 μB per formula unit
data_PaAgS4
_space_group_name_H-M_alt 'P 1 2/m 1'
_space_group_IT_number 10
_cell_length_a 6.585
_cell_length_b 3.909
_cell_length_c 6.590
_cell_angle_alpha 90.00
_cell_angle_beta 105.74
_cell_angle_gamma 90.00
loop_
_space_group_symop_operation_xyz
'x,y,z'
'-x,-y,-z'
'-x,y,-z'
'x,-y,z'
loop_
_atom_site_label
_atom_site_type_symbol
_atom_site_fract_x
_atom_site_fract_y
_atom_site_fract_z
_atom_site_occupancy
Pa1 Pa 0.000 0.000 0.000 1
Ag1 Ag 0.500 0.500 0.000 1
S1 S 0.146 0.500 0.260 1
S2 S 0.322 0.000 0.804 1


# Cu2RhAu | Alexandria | PBE | relaxed
# Calculated formation energy: 0.09 eV per atom
# DOS at the Fermi energy: 4.50 states/eV per cell
# Magnetization: 0.54 μB per formula unit
data_Cu2RhAu
_space_group_name_H-M_alt 'P 4 m m'
_space_group_IT_number 99
_cell_length_a 2.865
_cell_length_b 2.865
_cell_length_c 6.885
_cell_angle_alpha 90.00
_cell_angle_beta 90.00
_cell_angle_gamma 90.00
loop_
_space_group_symop_operation_xyz
'x,y,z'
'-y,x,z'
'-x,-y,z'
'y,-x,z'
'-x,y,z'
'y,x,z'
'x,-y,z'
'-y,-x,z'
loop_
_atom_site_label
_atom_site_type_symbol
_atom_site_fract_x
_atom_site_fract_y
_atom_site_fract_z
_atom_site_occupancy
Cu1 Cu 0.000 0.000 0.000 1
Cu2 Cu 0.500 0.500 0.212 1
Rh1 Rh 0.000 0.000 0.445 1
Au1 Au 0.500 0.500 0.738 1


# BPt | Alexandria | PBE | relaxed
# Calculated formation energy: -0.04 eV per atom
# Magnetization: 0.00 μB per formula unit
data_BPt
_space_group_name_H-M_alt 'F d d d'
_space_group_IT_number 70
_cell_length_a 4.566
_cell_length_b 9.633
_cell_length_c 11.799
_cell_angle_alpha 90.00
_cell_angle_beta 90.00
_cell_angle_gamma 90.00
loop_
_space_group_symop_operation_xyz
'x,y,z'
'-x,-y,-z'
'-x+1/4,-y+1/4,z'
'x+1/4,y+1/4,-z'
'x,-y+1/4,-z+1/4'
'-x,y+1/4,z+1/4'
'-x+1/4,y,-z+1/4'
'x+1/4,-y,z+1/4'
'x,y+1/2,z+1/2'
'-x,-y+1/2,-z+1/2'
'-x+1/4,-y+3/4,z+1/2'
'x+1/4,y+3/4,-z+1/2'
'x,-y+3/4,-z+3/4'
'-x,y+3/4,z+3/4'
'-x+1/4,y+1/2,-z+3/4'
'x+1/4,-y+1/2,z+3/4'
'x+1/2,y,z+1/2'
'-x+1/2,-y,-z+1/2'
'-x+3/4,-y+1/4,z+1/2'
'x+3/4,y+1/4,-z+1/2'
'x+1/2,-y+1/4,-z+3/4'
'-x+1/2,y+1/4,z+3/4'
'-x+3/4,y,-z+3/4'
'x+3/4,-y,z+3/4'
'x+1/2,y+1/2,z'
'-x+1/2,-y+1/2,-z'
'-x+3/4,-y+3/4,z'
'x+3/4,y+3/4,-z'
'x+1/2,-y+3/4,-z+1/4'
'-x+1/2,y+3/4,z+1/4'
'-x+3/4,y+1/2,-z+1/4'
'x+3/4,-y+1/2,z+1/4'
loop_
_atom_site_label
_atom_site_type_symbol
_atom_site_fract_x
_atom_site_fract_y
_atom_site_fract_z
_atom_site_occupancy
B1 B 0.125 0.296 0.125 1
Pt1 Pt 0.125 0.125 0.006 1


# CoSiHPd2 | Alexandria | PBE | relaxed
# DOS at the Fermi energy: 1.96 states/eV per cell
# Uncorrected energy: -0.399 Ry per atom
# Magnetization: 0.00 μB per formula unit
data_CoSiHPd2
_space_group_name_H-M_alt 'P 4/m m m'
_space_group_IT_number 123
_space_group_name_Hall '-P 4 2'
_cell_length_a 3.887
_cell_length_b 3.887
_cell_length_c 3.687
_cell_angle_alpha 90.00
_cell_angle_beta 90.00
_cell_angle_gamma 90.00
loop_
_atom_site_label
_atom_site_type_symbol
_atom_site_fract_x
_atom_site_fract_y
_atom_site_fract_z
_atom_site_occupancy
Co1 Co 0.000 0.000 0.000 1
Si1 Si 0.500 0.500 0.000 1
H1 H 0.000 0.000 0.500 1
Pd1 Pd 0.000 0.500 0.500 1